{"formula": "La6Mg2CoN", "functional": "GGA-PBE", "state": "optimized geometry", "sg": "No. 2", "e_tot_ha_per_atom": -0.188, "lattice_angstrom": [[7.4771, -0.0060, -0.0082], [-0.0060, 7.4763, 0.0018], [-3.7416, -3.7345, 5.3738]], "species": ["La", "La", "La", "La", "Mg", "Mg", "Co", "La", "La", "N"], "fractional_positions": [[0.2703, 0.2011, 0.9922], [0.7941, 0.2716, 0.9956], [0.7296, 0.7998, 0.0074], [0.2452, 0.2500, 0.4874], [0.2502, 0.7506, 0.4997], [0.7496, 0.2501, 0.4998], [0.4999, 0.5004, 0.9998], [0.2057, 0.7293, 0.0041], [0.7546, 0.7508, 0.5123], [0.9998, 0.0003, 0.9996]]}